FeH2Cl3 after structural relaxation, computed with GGA-PBE.

Computed properties:
space-group type = C2/c
calculated total energy = -3.19 eV/atom
volume = 409.5 Å³/cell

a = 8.036 Å, b = 8.036 Å, c = 6.521 Å
α = 90.71°, β = 90.71°, γ = 76.54°
Atoms (fractional coordinates):
1 Fe 0.068 0.932 0.750
2 Fe 0.932 0.068 0.250
3 H 0.206 0.496 0.269
4 H 0.496 0.206 0.769
5 H 0.504 0.794 0.231
6 H 0.794 0.504 0.731
7 Cl 0.099 0.150 0.975
8 Cl 0.150 0.099 0.475
9 Cl 0.284 0.716 0.750
10 Cl 0.716 0.284 0.250
11 Cl 0.850 0.901 0.525
12 Cl 0.901 0.850 0.025